(1)
PBE-GGA LuSi2, optimized geometry; energy = -16.663 eV for the cell shown
1.0
4.084 0.000 0.000
-2.042 3.537 0.000
0.000 0.000 3.798
Lu Si
1 2
Direct
0.000 0.000 0.000
0.333 0.667 0.500
0.667 0.333 0.500

(2)
PBE-GGA Sm4C2N5, optimized geometry; energy = -90.142 eV for the cell shown
1.0
6.037 -1.769 0.000
6.037 1.769 0.000
-5.764 0.000 6.700
Sm C N
4 2 5
Direct
0.078 0.078 0.335
0.312 0.312 0.887
0.688 0.688 0.113
0.922 0.922 0.665
0.423 0.423 0.405
0.577 0.577 0.595
0.000 0.000 0.000
0.306 0.306 0.404
0.390 0.390 0.217
0.610 0.610 0.783
0.694 0.694 0.596

(3)
PBE-GGA Hf4TlPC2, optimized geometry; energy = -72.919 eV for the cell shown
1.0
3.377 0.000 0.000
-1.689 2.925 0.000
0.000 0.000 13.455
Hf Tl P C
4 1 1 2
Direct
0.000 0.000 0.132
0.000 0.000 0.868
0.667 0.333 0.315
0.667 0.333 0.685
0.000 0.000 0.500
0.667 0.333 0.000
0.333 0.667 0.228
0.333 0.667 0.772

(4)
PBE-GGA MgZnN, optimized geometry; energy = -9.008 eV for the cell shown
1.0
2.878 0.000 0.000
0.000 2.878 0.000
0.000 0.000 5.914
Mg Zn N
1 1 1
Direct
0.000 0.000 0.000
0.000 0.000 0.500
0.500 0.500 0.500